Record 1
Ti2Sb2Pb | GGA-PBE | relaxed

Output
The uncorrected formation energy is 29 meV/atom. Its space group is I4/mmm. Its size of the total moment is 0.13 μB per atom.

Geometry as POSCAR:
```
Ti2Sb2Pb
1.0
4.1470 0.0000 0.0000
0.0000 4.1470 0.0000
2.0735 2.0735 6.7921
Sb Ti Pb
2 2 1
Direct
0.2500 0.7500 0.5000
0.7500 0.2500 0.5000
0.6002 0.6002 0.7996
0.3998 0.3998 0.2004
0.0000 0.0000 0.0000
```

---

Record 2
TiSb3Pb | GGA-PBE | relaxed

Output
The uncorrected formation energy is 125 meV/atom. Its space group is Pm-3m. Its size of the total moment is 0.00 μB per atom.

Geometry as POSCAR:
```
TiSb3Pb
1.0
-4.0009 -0.5796 -3.4577
2.2797 -4.4161 -1.8975
-2.6637 -2.9089 3.5697
Sb Ti Pb
3 1 1
Direct
0.0000 0.0000 0.5000
0.0000 0.5000 0.0000
0.5000 0.0000 0.0000
0.0000 0.0000 0.0000
0.5000 0.5000 0.5000
```

---

no.,final energy (eV per cell)
1,-27.60
2,-23.35